Entry from Alexandria via LeMat-Bulk: a geometry-optimized CsNa2Pd2 structure (PBE-GGA).

Cell lengths 9.0046, 9.0046, 3.2103 Å; angles 90.00, 90.00, 90.00 degrees
Closest atoms and distances in Å follow each position.
Sites, in units of the cell vectors:
Cs1 0.0000 0.0000 0.0000  2 Cs 3.21, 4 Na 3.57
Cs2 0.5000 0.5000 0.0000  2 Cs 3.21, 4 Na 3.57
Na1 0.3772 0.8772 0.0000  6 Pd 3.10-3.11, 3 Na 3.13-3.21
Na2 0.8772 0.6228 0.0000  6 Pd 3.10-3.11, 3 Na 3.13-3.21
Na3 0.6228 0.1228 0.0000  6 Pd 3.10-3.11, 3 Na 3.13-3.21
Na4 0.1228 0.3772 0.0000  6 Pd 3.10-3.11, 3 Na 3.13-3.21
Pd1 0.1680 0.6680 0.5000  6 Na 3.10-3.11, 2 Pd 3.21
Pd2 0.6680 0.8320 0.5000  6 Na 3.10-3.11, 2 Pd 3.21
Pd3 0.8320 0.3320 0.5000  6 Na 3.10-3.11, 2 Pd 3.21
Pd4 0.3320 0.1680 0.5000  6 Na 3.10-3.11, 2 Pd 3.21

Computed properties:
space group: P4/mbm
magnetic moment: 0.000 μB per atom
calculated volume: 26.03 A^3/atom
ΔH_f (0 K): 43 kJ/mol of formula units

Entry from Alexandria via LeMat-Bulk: a geometry-optimized CsNa2Pd structure (PBE-GGA).

Cell lengths 6.1768, 6.1768, 10.4389 Å; angles 72.79, 72.79, 90.00 degrees
Closest atoms and distances in Å follow each position.
Sites, in units of the cell vectors:
Cs1 0.0000 0.0000 0.0000  8 Na 4.16-4.22, 4 Pd 4.37
Cs2 0.7500 0.2500 0.5000  8 Na 4.16-4.22, 4 Pd 4.37
Na1 0.3687 0.1250 0.2500  2 Pd 2.83, 2 Na 3.09
Na2 0.3813 0.6250 0.2500  2 Pd 2.83, 2 Na 3.09
Na3 0.3750 0.6313 0.7500  2 Pd 2.83, 2 Na 3.09
Na4 0.8750 0.6187 0.7500  2 Pd 2.83, 2 Na 3.09
Pd1 0.5000 0.5000 0.0000  4 Na 2.83
Pd2 0.2500 0.7500 0.5000  4 Na 2.83

Computed properties:
space group: I-42d
magnetic moment: 0.000 μB per atom
calculated volume: 45.22 A^3/atom
ΔH_f (0 K): 66 kJ/mol of formula units

Entry from Alexandria via LeMat-Bulk: a geometry-optimized CsNa2Pd structure (PBE-GGA).

Cell lengths 5.0881, 5.0881, 7.4079 Å; angles 69.91, 69.91, 60.00 degrees
Closest atoms and distances in Å follow each position.
Sites, in units of the cell vectors:
Cs1 0.0000 0.0000 0.0000  8 Na 4.02-4.04, 6 Pd 4.49
Na1 0.1971 0.1971 0.4086  3 Pd 3.00, 3 Na 3.19
Na2 0.8029 0.8029 0.5914  3 Pd 3.00, 3 Na 3.19
Pd1 0.5000 0.5000 0.5000  6 Na 3.00

Computed properties:
space group: R-3m
magnetic moment: 0.000 μB per atom
calculated volume: 38.12 A^3/atom
ΔH_f (0 K): 19 kJ/mol of formula units

Entry from Alexandria via LeMat-Bulk: a geometry-optimized Cs2Na2Pd structure (PBE-GGA).

Cell lengths 8.7640, 8.7640, 7.3889 Å; angles 90.00, 90.00, 90.00 degrees
Closest atoms and distances in Å follow each position.
Sites, in units of the cell vectors:
Cs1 0.8266 0.3266 0.0000  2 Pd 3.24
Cs2 0.6734 0.8266 0.0000  2 Pd 3.24
Cs3 0.1734 0.6734 0.0000  2 Pd 3.24
Cs4 0.3266 0.1734 0.0000  2 Pd 3.24
Na1 0.6475 0.1475 0.5000  1 Na 3.66
Na2 0.8525 0.6475 0.5000  1 Na 3.66
Na3 0.3525 0.8525 0.5000  1 Na 3.66
Na4 0.1475 0.3525 0.5000  1 Na 3.66
Pd1 0.0000 0.0000 0.0000  4 Cs 3.24
Pd2 0.5000 0.5000 0.0000  4 Cs 3.24

Computed properties:
space group: P4/mbm
magnetic moment: 0.000 μB per atom
calculated volume: 56.75 A^3/atom
ΔH_f (0 K): 142 kJ/mol of formula units

Entry from Alexandria via LeMat-Bulk: a geometry-optimized Cs14NaPd structure (PBE-GGA).

Cell lengths 10.4771, 10.4771, 14.8334 Å; angles 90.00, 90.00, 104.43 degrees
Closest atoms and distances in Å follow each position.
Sites, in units of the cell vectors:
Cs1 0.3676 0.6324 0.5000  8 Cs 5.19-5.29
Cs2 0.8282 0.1718 0.5000  10 Cs 5.16-5.56
Cs3 0.8437 0.5476 0.0000  1 Pd 3.41
Cs4 0.8849 0.6962 0.5000  9 Cs 5.16-5.38
Cs5 0.4524 0.1563 0.0000  1 Pd 3.41
Cs6 0.3038 0.1151 0.5000  9 Cs 5.16-5.38
Cs7 0.7103 0.9362 0.8358  1 Pd 3.71
Cs8 0.7103 0.9362 0.1642  1 Pd 3.71
Cs9 0.0638 0.2897 0.8358  1 Pd 3.71
Cs10 0.0638 0.2897 0.1642  1 Pd 3.71
Cs11 0.1949 0.8051 0.7919  1 Na 4.64, 3 Cs 5.04-5.19
Cs12 0.1949 0.8051 0.2081  1 Na 4.64, 3 Cs 5.04-5.19
Cs13 0.5949 0.4051 0.7445  2 Cs 4.63, 1 Na 4.93, 1 Pd 4.96
Cs14 0.5949 0.4051 0.2555  2 Cs 4.63, 1 Na 4.93, 1 Pd 4.96
Na1 0.4041 0.5959 0.0000  10 Cs 4.64-4.93
Pd1 0.7877 0.2123 0.0000  6 Cs 3.41-3.71

Computed properties:
space group: Amm2
magnetic moment: 0.000 μB per atom
calculated volume: 98.56 A^3/atom
ΔH_f (0 K): 67 kJ/mol of formula units

Entry from Alexandria via LeMat-Bulk: a geometry-optimized Cs3NaPd structure (PBE-GGA).

Cell lengths 6.9202, 6.9202, 6.9202 Å; angles 90.00, 90.00, 90.00 degrees
Closest atoms and distances in Å follow each position.
Sites, in units of the cell vectors:
Cs1 0.0000 0.5000 0.0000  2 Pd 3.46
Cs2 0.0000 0.0000 0.5000  2 Pd 3.46
Cs3 0.5000 0.0000 0.0000  2 Pd 3.46
Na1 0.5000 0.5000 0.5000  12 Cs 4.89
Pd1 0.0000 0.0000 0.0000  6 Cs 3.46

Computed properties:
space group: Pm-3m
magnetic moment: 0.000 μB per atom
calculated volume: 66.28 A^3/atom
ΔH_f (0 K): 28 kJ/mol of formula units

Entry from Alexandria via LeMat-Bulk: a geometry-optimized CsNa2Pd structure (PBE-GGA).

Cell lengths 3.7815, 3.7815, 9.8157 Å; angles 90.00, 90.00, 90.00 degrees
Closest atoms and distances in Å follow each position.
Sites, in units of the cell vectors:
Cs1 0.5000 0.5000 0.5000  4 Cs 3.78
Na1 0.0000 0.0000 0.8505  1 Na 2.94, 4 Pd 3.05
Na2 0.0000 0.0000 0.1495  1 Na 2.94, 4 Pd 3.05
Pd1 0.5000 0.5000 0.0000  8 Na 3.05

Computed properties:
space group: P4/mmm
magnetic moment: 0.000 μB per atom
calculated volume: 35.09 A^3/atom
ΔH_f (0 K): 59 kJ/mol of formula units

Entry from Alexandria via LeMat-Bulk: a geometry-optimized Cs2Na2Pd structure (PBE-GGA).

Cell lengths 8.1552, 8.1552, 6.4074 Å; angles 90.00, 90.00, 90.00 degrees
Closest atoms and distances in Å follow each position.
Sites, in units of the cell vectors:
Cs1 0.1979 0.6979 0.5000  2 Na 3.62
Cs2 0.6979 0.8021 0.5000  2 Na 3.62
Cs3 0.8021 0.3021 0.5000  2 Na 3.62
Cs4 0.3021 0.1979 0.5000  2 Na 3.62
Na1 0.3433 0.8433 0.0000  2 Pd 3.08
Na2 0.8433 0.6567 0.0000  2 Pd 3.08
Na3 0.6567 0.1567 0.0000  2 Pd 3.08
Na4 0.1567 0.3433 0.0000  2 Pd 3.08
Pd1 0.0000 0.0000 0.0000  4 Na 3.08
Pd2 0.5000 0.5000 0.0000  4 Na 3.08

Computed properties:
space group: P4/mbm
magnetic moment: 0.000 μB per atom
calculated volume: 42.61 A^3/atom
ΔH_f (0 K): 68 kJ/mol of formula units

Entry from Alexandria via LeMat-Bulk: a geometry-optimized CsNa2Pd2 structure (PBE-GGA).

Cell lengths 5.0430, 5.0430, 6.8317 Å; angles 68.34, 68.34, 90.00 degrees
Closest atoms and distances in Å follow each position.
Sites, in units of the cell vectors:
Cs1 0.0000 0.0000 0.0000  8 Pd 3.80, 8 Na 3.85
Na1 0.7500 0.2500 0.5000  4 Pd 2.98
Na2 0.2500 0.7500 0.5000  4 Pd 2.98
Pd1 0.3867 0.3867 0.2267  1 Pd 2.64
Pd2 0.6133 0.6133 0.7733  1 Pd 2.64

Computed properties:
space group: I4/mmm
magnetic moment: 0.000 μB per atom
calculated volume: 29.64 A^3/atom
ΔH_f (0 K): 43 kJ/mol of formula units

Entry from Alexandria via LeMat-Bulk: a geometry-optimized CsNa3Pd structure (PBE-GGA).

Cell lengths 5.8050, 5.8050, 5.8050 Å; angles 90.00, 90.00, 90.00 degrees
Closest atoms and distances in Å follow each position.
Sites, in units of the cell vectors:
Cs1 0.5000 0.5000 0.5000  12 Na 4.10
Na1 0.0000 0.5000 0.0000  2 Pd 2.90
Na2 0.0000 0.0000 0.5000  2 Pd 2.90
Na3 0.5000 0.0000 0.0000  2 Pd 2.90
Pd1 0.0000 0.0000 0.0000  6 Na 2.90

Computed properties:
space group: Pm-3m
magnetic moment: 0.000 μB per atom
calculated volume: 39.12 A^3/atom
ΔH_f (0 K): 16 kJ/mol of formula units

Entry from Alexandria via LeMat-Bulk: a geometry-optimized CsNa3Pd structure (PBE-GGA).

Cell lengths 6.3218, 6.3218, 6.3218 Å; angles 90.00, 90.00, 90.00 degrees
Closest atoms and distances in Å follow each position.
Sites, in units of the cell vectors:
Cs1 0.0000 0.0000 0.0000  6 Na 3.16
Na1 0.0000 0.5000 0.0000  2 Cs 3.16
Na2 0.0000 0.0000 0.5000  2 Cs 3.16
Na3 0.5000 0.0000 0.0000  2 Cs 3.16
Pd1 0.5000 0.5000 0.5000  12 Na 4.47

Computed properties:
space group: Pm-3m
magnetic moment: 0.000 μB per atom
calculated volume: 50.53 A^3/atom
ΔH_f (0 K): 476 kJ/mol of formula units

Entry from Alexandria via LeMat-Bulk: a geometry-optimized CsNa2Pd structure (PBE-GGA).

Cell lengths 5.6347, 5.6347, 5.6347 Å; angles 60.00, 60.00, 60.00 degrees
Closest atoms and distances in Å follow each position.
Sites, in units of the cell vectors:
Cs1 0.5000 0.5000 0.5000  8 Na 3.45
Na1 0.2500 0.2500 0.2500  4 Pd 3.45, 4 Cs 3.45
Na2 0.7500 0.7500 0.7500  4 Pd 3.45, 4 Cs 3.45
Pd1 0.0000 0.0000 0.0000  8 Na 3.45

Computed properties:
space group: Fm-3m
magnetic moment: 0.000 μB per atom
calculated volume: 31.63 A^3/atom
ΔH_f (0 K): 69 kJ/mol of formula units

Entry from Alexandria via LeMat-Bulk: a geometry-optimized Cs2RbNaPd structure (PBE-GGA).

Cell lengths 7.0458, 7.0458, 5.9704 Å; angles 90.00, 90.00, 90.00 degrees
Closest atoms and distances in Å follow each position.
Sites, in units of the cell vectors:
Cs1 0.0000 0.5000 0.0000  2 Pd 3.52
Cs2 0.5000 0.0000 0.0000  2 Pd 3.52
Na1 0.0000 0.0000 0.5000  2 Pd 2.99
Rb1 0.5000 0.5000 0.5000  8 Cs 4.62, 4 Na 4.98
Pd1 0.0000 0.0000 0.0000  2 Na 2.99

Computed properties:
space group: P4/mmm
magnetic moment: 0.000 μB per atom
calculated volume: 59.28 A^3/atom
ΔH_f (0 K): 44 kJ/mol of formula units

E? In order: -2.686; -2.000; -2.121; -1.614; -1.111; -1.756; -2.019; -1.766; -2.687; -1.968; -1.013; -1.991; -1.746 eV/atom.